Below is a geometry-optimized MgMoNO2 structure, with properties calculated at the PBE+U level.

Lattice parameters (Å, degrees): 3.779 3.779 4.027 90.00 90.00 90.00
Sites, in units of the cell vectors:
Mo (0.500, 0.500, 0.500)
Mg (0.000, 0.000, 0.000)
O (0.000, 0.500, 0.000)
O (0.500, 0.000, 0.000)
N (0.000, 0.000, 0.500)

## Properties
Space-group type   P4/mmm, No. 123
Crystal system   tetragonal
N(E_F)   0.30 states/eV/atom
Electronic total energy   -27.2 eV for the cell shown